Computed, not measured: a relaxed K2GaRePb crystal at the PBE level of DFT.

Cell: 6.1039 6.1039 4.8753 Å, 90.00 90.00 90.00°
Element x y z (fractional)
1 K 0.0000 0.5000 0.0000
2 K 0.5000 0.0000 0.0000
3 Ga 0.0000 0.0000 0.0000
4 Re 0.0000 0.0000 0.5000
5 Pb 0.5000 0.5000 0.5000

Results
- E: -16.27 eV for the cell shown
- ΔE_f: 1.021 eV per atom
- Crystal system: tetragonal
- Fermi-level density of states: 0.88 states/eV per atom